# ScGeNF2

A relaxed ScGeNF2 crystal (GGA-PBEsol, Alexandria).

Summary:
The crystal system is tetragonal. Its space group is P4/mmm, No. 123.

abc: 3.9504 3.9504 4.3617
angles: 90.00 90.00 90.00
Fractional positions:
Sc (0.0000, 0.0000, 0.0000)
Ge (0.5000, 0.5000, 0.5000)
N (0.0000, 0.0000, 0.5000)
F (0.0000, 0.5000, 0.0000)
F (0.5000, 0.0000, 0.0000)



# GeSeN2F

A relaxed GeSeN2F crystal (GGA-PBEsol, Alexandria).

Summary:
The crystal system is tetragonal. Its space group is P4/mmm, No. 123.

abc: 3.6020 3.6020 5.5445
angles: 90.00 90.00 90.00
Site moments in Bohr magnetons follow the coordinates.
Fractional positions:
Ge (0.0000, 0.0000, 0.0000)  -0.02
N (0.0000, 0.5000, 0.0000)  0.38
N (0.5000, 0.0000, 0.0000)  0.38
Se (0.0000, 0.0000, 0.5000)  0.22
F (0.5000, 0.5000, 0.5000)  -0.02



Number 1: E_tot -6.4443 eV/atom. Number 2: E_tot -4.5532 eV/atom.